Record 1
# TaMoCl | Alexandria via LeMat-Bulk | PBE-GGA | optimized geometry
# Energy above the most stable polymorph in this dataset ... 0.0000 eV per atom
# Calculated total energy ... -95.99 eV/cell
# Magnetization ... 0.00 μB per cell
data_TaMoCl
_chemical_formula_sum 'Ta4 Mo4 Cl4'
_cell_length_a 3.2893
_cell_length_b 5.1095
_cell_length_c 13.4775
_cell_angle_alpha 90.00
_cell_angle_beta 90.00
_cell_angle_gamma 90.00
_symmetry_space_group_name_H-M 'F m m 2'
_symmetry_Int_Tables_number 42
_symmetry_space_group_name_Hall 'F 2 -2'
loop_
_atom_site_label
_atom_site_type_symbol
_atom_site_fract_x
_atom_site_fract_y
_atom_site_fract_z
_atom_site_occupancy
Ta1 Ta 0.0000 0.0000 0.0000 1
Mo1 Mo 0.0000 0.0000 0.6429 1
Cl1 Cl 0.0000 0.0000 0.3451 1

=====

Record 2
# TaMoCl4 | Alexandria via LeMat-Bulk | PBE-GGA | optimized geometry
# Calculated total energy ... -85.98 eV/cell
# Magnetization ... 3.37 μB per cell
data_TaMoCl4
_chemical_formula_sum 'Ta4 Mo4 Cl16'
_cell_length_a 7.8723
_cell_length_b 7.8723
_cell_length_c 7.8723
_cell_angle_alpha 90.00
_cell_angle_beta 90.00
_cell_angle_gamma 90.00
_symmetry_space_group_name_H-M 'F -4 3 m'
_symmetry_Int_Tables_number 216
_symmetry_space_group_name_Hall 'F -4 2 3'
loop_
_atom_site_label
_atom_site_type_symbol
_atom_site_fract_x
_atom_site_fract_y
_atom_site_fract_z
_atom_site_occupancy
Ta1 Ta 0.0000 0.0000 0.0000 1
Mo1 Mo 0.2500 0.2500 0.2500 1
Cl1 Cl 0.1254 0.1254 0.6254 1

=====

Record 3
# TaMoCl2 | Alexandria via LeMat-Bulk | PBE-GGA | optimized geometry
# Energy above the most stable polymorph in this dataset ... 0.0806 eV per atom
# Calculated total energy ... -83.89 eV/cell
# Magnetization ... 0.00 μB per cell
data_TaMoCl2
_chemical_formula_sum 'Ta3 Mo3 Cl6'
_cell_length_a 3.0443
_cell_length_b 3.0443
_cell_length_c 29.9547
_cell_angle_alpha 90.00
_cell_angle_beta 90.00
_cell_angle_gamma 120.00
_symmetry_space_group_name_H-M 'R 3 m'
_symmetry_Int_Tables_number 160
_symmetry_space_group_name_Hall 'R 3 -2"'
loop_
_atom_site_label
_atom_site_type_symbol
_atom_site_fract_x
_atom_site_fract_y
_atom_site_fract_z
_atom_site_occupancy
Ta1 Ta 0.0000 0.0000 0.0000 1
Mo1 Mo 0.0000 0.0000 0.7497 1
Cl1 Cl 0.0000 0.0000 0.2732 1
Cl2 Cl 0.0000 0.0000 0.4736 1

=====

Record 4
# TaMoCl | Alexandria via LeMat-Bulk | PBE-GGA | optimized geometry
# Energy above the most stable polymorph in this dataset ... 0.2562 eV per atom
# Calculated total energy ... -23.23 eV/cell
# Magnetization ... 0.00 μB per cell
data_TaMoCl
_chemical_formula_sum 'Ta1 Mo1 Cl1'
_cell_length_a 4.4877
_cell_length_b 4.4877
_cell_length_c 2.8891
_cell_angle_alpha 90.00
_cell_angle_beta 90.00
_cell_angle_gamma 120.00
_symmetry_space_group_name_H-M 'P 3 m 1'
_symmetry_Int_Tables_number 156
loop_
_symmetry_equiv_pos_as_xyz
'x,y,z'
'-y,x-y,z'
'-x+y,-x,z'
'-y,-x,z'
'-x+y,y,z'
'x,x-y,z'
loop_
_atom_site_label
_atom_site_type_symbol
_atom_site_fract_x
_atom_site_fract_y
_atom_site_fract_z
_atom_site_occupancy
Ta1 Ta 0.0000 0.0000 0.0000 1
Mo1 Mo 0.3333 0.6667 0.3762 1
Cl1 Cl 0.6667 0.3333 0.0656 1

=====

Record 5
# TaMoCl2 | Alexandria via LeMat-Bulk | PBE-GGA | optimized geometry
# Energy above the most stable polymorph in this dataset ... 0.6328 eV per atom
# Calculated total energy ... -77.26 eV/cell
# Magnetization ... 0.00 μB per cell
data_TaMoCl2
_chemical_formula_sum 'Ta3 Mo3 Cl6'
_cell_length_a 3.0140
_cell_length_b 3.0140
_cell_length_c 25.9838
_cell_angle_alpha 90.00
_cell_angle_beta 90.00
_cell_angle_gamma 120.00
_symmetry_space_group_name_H-M 'R -3 m'
_symmetry_Int_Tables_number 166
_symmetry_space_group_name_Hall '-R 3 2"'
loop_
_atom_site_label
_atom_site_type_symbol
_atom_site_fract_x
_atom_site_fract_y
_atom_site_fract_z
_atom_site_occupancy
Ta1 Ta 0.0000 0.0000 0.0000 1
Mo1 Mo 0.0000 0.0000 0.5000 1
Cl1 Cl 0.0000 0.0000 0.4057 1

=====

Record 6
# TaMoCl | Alexandria via LeMat-Bulk | PBE-GGA | optimized geometry
# Energy above the most stable polymorph in this dataset ... 0.0438 eV per atom
# Calculated total energy ... -23.86 eV/cell
# Magnetization ... 0.00 μB per cell
data_TaMoCl
_chemical_formula_sum 'Ta1 Mo1 Cl1'
_cell_length_a 2.9313
_cell_length_b 2.9313
_cell_length_c 7.6500
_cell_angle_alpha 90.00
_cell_angle_beta 90.00
_cell_angle_gamma 120.00
_symmetry_space_group_name_H-M 'P 3 m 1'
_symmetry_Int_Tables_number 156
loop_
_symmetry_equiv_pos_as_xyz
'x,y,z'
'-y,x-y,z'
'-x+y,-x,z'
'-y,-x,z'
'-x+y,y,z'
'x,x-y,z'
loop_
_atom_site_label
_atom_site_type_symbol
_atom_site_fract_x
_atom_site_fract_y
_atom_site_fract_z
_atom_site_occupancy
Ta1 Ta 0.0000 0.0000 0.0000 1
Mo1 Mo 0.3333 0.6667 0.6841 1
Cl1 Cl 0.6667 0.3333 0.2435 1

=====

Record 7
# TaMoCl2 | Alexandria via LeMat-Bulk | PBE-GGA | optimized geometry
# Energy above the most stable polymorph in this dataset ... 1.3535 eV per atom
# Calculated total energy ... -91.49 eV/cell
# Magnetization ... 0.00 μB per cell
data_TaMoCl2
_chemical_formula_sum 'Ta4 Mo4 Cl8'
_cell_length_a 6.2348
_cell_length_b 6.2348
_cell_length_c 6.2348
_cell_angle_alpha 90.00
_cell_angle_beta 90.00
_cell_angle_gamma 90.00
_symmetry_space_group_name_H-M 'F m -3 m'
_symmetry_Int_Tables_number 225
_symmetry_space_group_name_Hall '-F 4 2 3'
loop_
_atom_site_label
_atom_site_type_symbol
_atom_site_fract_x
_atom_site_fract_y
_atom_site_fract_z
_atom_site_occupancy
Ta1 Ta 0.0000 0.0000 0.0000 1
Mo1 Mo 0.0000 0.0000 0.5000 1
Cl1 Cl 0.2500 0.2500 0.2500 1

=====

Record 8
# TaMoCl | Alexandria via LeMat-Bulk | PBE-GGA | optimized geometry
# Energy above the most stable polymorph in this dataset ... 0.9196 eV per atom
# Calculated total energy ... -84.95 eV/cell
# Magnetization ... 0.00 μB per cell
data_TaMoCl
_chemical_formula_sum 'Ta4 Mo4 Cl4'
_cell_length_a 6.1159
_cell_length_b 6.1159
_cell_length_c 6.1159
_cell_angle_alpha 90.00
_cell_angle_beta 90.00
_cell_angle_gamma 90.00
_symmetry_space_group_name_H-M 'F -4 3 m'
_symmetry_Int_Tables_number 216
_symmetry_space_group_name_Hall 'F -4 2 3'
loop_
_atom_site_label
_atom_site_type_symbol
_atom_site_fract_x
_atom_site_fract_y
_atom_site_fract_z
_atom_site_occupancy
Ta1 Ta 0.0000 0.0000 0.0000 1
Mo1 Mo 0.2500 0.2500 0.7500 1
Cl1 Cl 0.0000 0.0000 0.5000 1

=====

Record 9
# TaMoCl | Alexandria via LeMat-Bulk | PBE-GGA | optimized geometry
# Energy above the most stable polymorph in this dataset ... 0.4717 eV per atom
# Calculated total energy ... -45.16 eV/cell
# Magnetization ... 0.00 μB per cell
data_TaMoCl
_chemical_formula_sum 'Ta2 Mo2 Cl2'
_cell_length_a 2.8220
_cell_length_b 4.2730
_cell_length_c 8.5199
_cell_angle_alpha 90.00
_cell_angle_beta 90.00
_cell_angle_gamma 90.00
_symmetry_space_group_name_H-M 'I m m 2'
_symmetry_Int_Tables_number 44
loop_
_symmetry_equiv_pos_as_xyz
'x,y,z'
'-x,-y,z'
'-x,y,z'
'x,-y,z'
'x+1/2,y+1/2,z+1/2'
'-x+1/2,-y+1/2,z+1/2'
'-x+1/2,y+1/2,z+1/2'
'x+1/2,-y+1/2,z+1/2'
loop_
_atom_site_label
_atom_site_type_symbol
_atom_site_fract_x
_atom_site_fract_y
_atom_site_fract_z
_atom_site_occupancy
Ta1 Ta 0.0000 0.0000 0.0000 1
Mo1 Mo 0.0000 0.0000 0.3327 1
Cl1 Cl 0.0000 0.0000 0.6973 1

=====

Record 10
# TaMoCl2 | Alexandria via LeMat-Bulk | PBE-GGA | optimized geometry
# Energy above the most stable polymorph in this dataset ... 0.8652 eV per atom
# Calculated total energy ... -49.65 eV/cell
# Magnetization ... 0.95 μB per cell
data_TaMoCl2
_chemical_formula_sum 'Ta2 Mo2 Cl4'
_cell_length_a 5.7468
_cell_length_b 8.7065
_cell_length_c 3.4525
_cell_angle_alpha 90.00
_cell_angle_beta 126.61
_cell_angle_gamma 90.00
_symmetry_space_group_name_H-M 'C 1 2/m 1'
_symmetry_Int_Tables_number 12
loop_
_symmetry_equiv_pos_as_xyz
'x,y,z'
'-x,-y,-z'
'-x,y,-z'
'x,-y,z'
'x+1/2,y+1/2,z'
'-x+1/2,-y+1/2,-z'
'-x+1/2,y+1/2,-z'
'x+1/2,-y+1/2,z'
loop_
_atom_site_label
_atom_site_type_symbol
_atom_site_fract_x
_atom_site_fract_y
_atom_site_fract_z
_atom_site_occupancy
Ta1 Ta 0.0000 0.0000 0.0000 1
Mo1 Mo 0.0000 0.5000 0.0000 1
Cl1 Cl 0.2500 0.2500 0.0000 1

=====

Record 11
# TaMoCl | Alexandria via LeMat-Bulk | PBE-GGA | optimized geometry
# Energy above the most stable polymorph in this dataset ... 1.1146 eV per atom
# Calculated total energy ... -82.61 eV/cell
# Magnetization ... 0.00 μB per cell
data_TaMoCl
_chemical_formula_sum 'Ta4 Mo4 Cl4'
_cell_length_a 6.2014
_cell_length_b 6.2014
_cell_length_c 6.2014
_cell_angle_alpha 90.00
_cell_angle_beta 90.00
_cell_angle_gamma 90.00
_symmetry_space_group_name_H-M 'F -4 3 m'
_symmetry_Int_Tables_number 216
_symmetry_space_group_name_Hall 'F -4 2 3'
loop_
_atom_site_label
_atom_site_type_symbol
_atom_site_fract_x
_atom_site_fract_y
_atom_site_fract_z
_atom_site_occupancy
Ta1 Ta 0.0000 0.0000 0.0000 1
Mo1 Mo 0.2500 0.2500 0.7500 1
Cl1 Cl 0.2500 0.2500 0.2500 1

=====

Record 12
# TaMoCl2 | Alexandria via LeMat-Bulk | PBE-GGA | optimized geometry
# Energy above the most stable polymorph in this dataset ... 0.2375 eV per atom
# Calculated total energy ... -27.34 eV/cell
# Magnetization ... 0.00 μB per cell
data_TaMoCl2
_chemical_formula_sum 'Ta1 Mo1 Cl2'
_cell_length_a 2.9799
_cell_length_b 2.9799
_cell_length_c 8.9581
_cell_angle_alpha 90.00
_cell_angle_beta 90.00
_cell_angle_gamma 90.00
_symmetry_space_group_name_H-M 'P 4 m m'
_symmetry_Int_Tables_number 99
loop_
_symmetry_equiv_pos_as_xyz
'x,y,z'
'-y,x,z'
'-x,-y,z'
'y,-x,z'
'-x,y,z'
'y,x,z'
'x,-y,z'
'-y,-x,z'
loop_
_atom_site_label
_atom_site_type_symbol
_atom_site_fract_x
_atom_site_fract_y
_atom_site_fract_z
_atom_site_occupancy
Ta1 Ta 0.0000 0.0000 0.0000 1
Mo1 Mo 0.5000 0.5000 0.7749 1
Cl1 Cl 0.0000 0.0000 0.5990 1
Cl2 Cl 0.5000 0.5000 0.1863 1

=====

Record 13
# Ta4MoCl | Alexandria via LeMat-Bulk | PBE-GGA | optimized geometry
# Calculated total energy ... -218.53 eV/cell
# Magnetization ... 0.00 μB per cell
data_Ta4MoCl
_chemical_formula_sum 'Ta16 Mo4 Cl4'
_cell_length_a 7.7237
_cell_length_b 7.7237
_cell_length_c 7.7237
_cell_angle_alpha 90.00
_cell_angle_beta 90.00
_cell_angle_gamma 90.00
_symmetry_space_group_name_H-M 'F -4 3 m'
_symmetry_Int_Tables_number 216
_symmetry_space_group_name_Hall 'F -4 2 3'
loop_
_atom_site_label
_atom_site_type_symbol
_atom_site_fract_x
_atom_site_fract_y
_atom_site_fract_z
_atom_site_occupancy
Ta1 Ta 0.1237 0.1237 0.3763 1
Mo1 Mo 0.2500 0.2500 0.7500 1
Cl1 Cl 0.0000 0.0000 0.0000 1

=====

Record 14
# TaMoCl2 | Alexandria via LeMat-Bulk | PBE-GGA | optimized geometry
# Energy above the most stable polymorph in this dataset ... 1.3817 eV per atom
# Calculated total energy ... -22.76 eV/cell
# Magnetization ... 0.00 μB per cell
data_TaMoCl2
_chemical_formula_sum 'Ta1 Mo1 Cl2'
_cell_length_a 4.4043
_cell_length_b 4.4043
_cell_length_c 3.1184
_cell_angle_alpha 90.00
_cell_angle_beta 90.00
_cell_angle_gamma 90.00
_symmetry_space_group_name_H-M 'P 4/m m m'
_symmetry_Int_Tables_number 123
_symmetry_space_group_name_Hall '-P 4 2'
loop_
_atom_site_label
_atom_site_type_symbol
_atom_site_fract_x
_atom_site_fract_y
_atom_site_fract_z
_atom_site_occupancy
Ta1 Ta 0.0000 0.0000 0.0000 1
Mo1 Mo 0.5000 0.5000 0.0000 1
Cl1 Cl 0.0000 0.5000 0.5000 1

=====

Record 15
# TaMoCl2 | Alexandria via LeMat-Bulk | PBE-GGA | optimized geometry
# Energy above the most stable polymorph in this dataset ... 0.3123 eV per atom
# Calculated total energy ... -54.07 eV/cell
# Magnetization ... 0.00 μB per cell
data_TaMoCl2
_chemical_formula_sum 'Ta2 Mo2 Cl4'
_cell_length_a 3.3566
_cell_length_b 5.1890
_cell_length_c 9.6134
_cell_angle_alpha 90.00
_cell_angle_beta 90.00
_cell_angle_gamma 90.00
_symmetry_space_group_name_H-M 'C m m 2'
_symmetry_Int_Tables_number 35
loop_
_symmetry_equiv_pos_as_xyz
'x,y,z'
'-x,-y,z'
'-x,y,z'
'x,-y,z'
'x+1/2,y+1/2,z'
'-x+1/2,-y+1/2,z'
'-x+1/2,y+1/2,z'
'x+1/2,-y+1/2,z'
loop_
_atom_site_label
_atom_site_type_symbol
_atom_site_fract_x
_atom_site_fract_y
_atom_site_fract_z
_atom_site_occupancy
Ta1 Ta 0.0000 0.0000 0.0000 1
Mo1 Mo 0.0000 0.5000 0.2084 1
Cl1 Cl 0.0000 0.0000 0.4116 1
Cl2 Cl 0.0000 0.5000 0.7947 1